No. 1
LaBeCu | PBE | optimized geometry

Results
Fermi-level density of states in states/eV per cell: 2.75
Offset from the most stable computed form in eV/f.u.: 0.39
Energy of formation in eV/atom: 0.126
Crystal system: tetragonal
Calculated volume in Å³/f.u.: 53.4
Electronic total energy in eV/atom: -4.12
Total magnetic moment in μB per formula unit: 0.0

The structure in extended XYZ format:
```
3
Lattice="-1.5520 1.5520 5.5409 1.5520 -1.5520 5.5409 1.5520 1.5520 -5.5409" Properties=species:S:1:pos:R:3 pbc="T T T"
La 0.0000 0.0000 0.0000
Be 0.0000 0.0000 7.8908
Cu 0.0000 0.0000 3.1755
```

=====

No. 2
Eu3Tm | PBE | optimized geometry

Results
Fermi-level density of states in states/eV per cell: 3.54
Offset from the most stable computed form in eV/f.u.: 0.09
Energy of formation in eV/atom: 0.120
Crystal system: cubic
Calculated volume in Å³/f.u.: 152.3
Electronic total energy in eV/atom: -8.70
Total magnetic moment in μB per formula unit: 21.6

The structure in extended XYZ format:
```
4
Lattice="0.0000 4.2382 4.2382 4.2382 0.0000 4.2382 4.2382 4.2382 0.0000" Properties=species:S:1:pos:R:3 pbc="T T T"
Eu 0.0000 0.0000 0.0000
Eu 2.1191 2.1191 2.1191
Eu 6.3573 6.3573 6.3573
Tm 4.2382 4.2382 4.2382
```

=====

No. 3
RbB3Sb | PBE | optimized geometry

Results
Fermi-level density of states in states/eV per cell: 3.20
Formation energy without anion corrections in eV/atom: 1.92
Offset from the most stable computed form in eV/f.u.: 0.00
Crystal system: cubic
Calculated volume in Å³/f.u.: 106.7
Electronic total energy in eV/atom: -3.10
Total magnetic moment in μB per formula unit: 0.0

The structure in extended XYZ format:
```
5
Lattice="4.7427 0.0000 0.0000 0.0000 4.7427 0.0000 0.0000 0.0000 4.7427" Properties=species:S:1:pos:R:3 pbc="T T T"
Rb 0.0000 0.0000 0.0000
B 0.0000 2.3713 2.3713
B 2.3713 0.0000 2.3713
B 2.3713 2.3713 0.0000
Sb 2.3713 2.3713 2.3713
```

=====

No. 4
ZrIn2 | PBE | optimized geometry

Results
Fermi-level density of states in states/eV per cell: 5.10
Energy of formation in eV/atom: -0.206
Crystal system: orthorhombic
Calculated volume in Å³/f.u.: 69.0
Electronic total energy in eV/atom: -4.88
Total magnetic moment in μB per formula unit: 0.0

The structure in extended XYZ format:
```
6
Lattice="2.2064 -7.4743 0.0000 2.2064 7.4743 0.0000 0.0000 0.0000 4.1865" Properties=species:S:1:pos:R:3 pbc="T T T"
Zr 2.2064 6.2064 3.1399
Zr 2.2064 -6.2064 1.0466
In 2.2064 3.7298 1.0466
In 2.2064 1.0898 3.1399
In 2.2064 -1.0898 1.0466
In 2.2064 -3.7298 3.1399
```

=====

No. 5
InCo2RhW | PBE | optimized geometry

Results
Fermi-level density of states in states/eV per cell: 5.88
Energy of formation in eV/atom: 2.017
Crystal system: tetragonal
Calculated volume in Å³/f.u.: 95.2
Electronic total energy in eV/atom: -5.43
Total magnetic moment in μB per formula unit: 4.4

The structure in extended XYZ format:
```
5
Lattice="4.4874 0.0000 0.0000 0.0000 4.4874 0.0000 0.0000 0.0000 4.7287" Properties=species:S:1:pos:R:3 pbc="T T T"
In 0.0000 0.0000 0.0000
Co 0.0000 2.2437 0.0000
Co 2.2437 0.0000 0.0000
Rh 0.0000 0.0000 2.3644
W 2.2437 2.2437 2.3644
```

=====

No. 6
SrCdOs2 | PBE | optimized geometry

Results
Fermi-level density of states in states/eV per cell: 10.04
Energy of formation in eV/atom: 1.327
Crystal system: tetragonal
Calculated volume in Å³/f.u.: 88.0
Electronic total energy in eV/atom: -4.94
Total magnetic moment in μB per formula unit: 0.7

The structure in extended XYZ format:
```
8
Lattice="-4.0700 4.0700 2.6548 4.0700 -4.0700 2.6548 4.0700 4.0700 -2.6548" Properties=species:S:1:pos:R:3 pbc="T T T"
Sr 0.0000 0.0000 0.0000
Sr 0.0000 4.0700 1.3274
Cd 4.0700 0.0000 1.3274
Cd 0.0000 0.0000 2.6548
Os 2.0350 -1.7195 1.9911
Os 2.3504 2.0350 0.6637
Os 2.0350 5.7895 -0.6637
Os 1.7195 2.0350 3.3185
```

=====

No. 7
LaNd3Er7 | PBE | optimized geometry

Results
Fermi-level density of states in states/eV per cell: 16.84
Offset from the most stable computed form in eV/f.u.: 0.00
Energy of formation in eV/atom: 0.150
Crystal system: monoclinic
Calculated volume in Å³/f.u.: 365.0
Electronic total energy in eV/atom: -4.50
Total magnetic moment in μB per formula unit: 0.0

The structure in extended XYZ format:
```
11
Lattice="7.0005 0.0000 0.0000 0.0000 5.5373 0.0000 -3.4034 0.0000 9.4166" Properties=species:S:1:pos:R:3 pbc="T T T"
La 0.0000 0.0000 0.0000
Nd 0.2843 2.7687 4.6965
Nd 3.5002 0.0000 0.0000
Nd 3.3128 2.7687 4.7201
Er -1.7017 0.0000 4.7083
Er -1.6793 2.7687 7.4209
Er 1.7877 2.7687 1.3195
Er 1.8078 0.0000 3.1135
Er 1.7893 0.0000 6.3031
Er 1.8094 2.7687 8.0971
Er 5.2763 2.7687 1.9957
```

=====

No. 8
SrLi2Ru | PBE | optimized geometry

Results
Fermi-level density of states in states/eV per cell: 3.38
Offset from the most stable computed form in eV/f.u.: 0.20
Energy of formation in eV/atom: 0.416
Crystal system: monoclinic
Calculated volume in Å³/f.u.: 81.7
Electronic total energy in eV/atom: -3.28
Total magnetic moment in μB per formula unit: 0.5

The structure in extended XYZ format:
```
4
Lattice="3.0261 0.0000 0.0000 0.0000 4.8431 0.0000 -0.5848 0.0000 5.5756" Properties=species:S:1:pos:R:3 pbc="T T T"
Sr 0.0000 0.0000 0.0000
Li 0.4111 2.4216 3.7773
Li 2.0302 2.4216 1.7983
Ru 1.2207 0.0000 2.7878
```

=====

No. 9
SrMnAl3 | PBE | optimized geometry

Results
Fermi-level density of states in states/eV per cell: 0.88
Energy of formation in eV/atom: -0.205
Crystal system: cubic
Calculated volume in Å³/f.u.: 103.0
Electronic total energy in eV/atom: -4.62
Total magnetic moment in μB per formula unit: 0.0

The structure in extended XYZ format:
```
5
Lattice="4.6871 0.0000 0.0000 0.0000 4.6871 0.0000 0.0000 0.0000 4.6871" Properties=species:S:1:pos:R:3 pbc="T T T"
Sr 0.0000 0.0000 0.0000
Mn 2.3436 2.3436 2.3436
Al 0.0000 2.3436 2.3436
Al 2.3436 0.0000 2.3436
Al 2.3436 2.3436 0.0000
```

=====

No. 10
NaPu2I6 | PBE | optimized geometry

Results
Fermi-level density of states in states/eV per cell: 64.77
Formation energy without anion corrections in eV/atom: -1.11
Offset from the most stable computed form in eV/f.u.: 0.00
Crystal system: tetragonal
Calculated volume in Å³/f.u.: 403.8
Electronic total energy in eV/atom: -5.48
Total magnetic moment in μB per formula unit: 11.0

The structure in extended XYZ format:
```
18
Lattice="7.5709 0.0000 0.0000 0.0000 7.5709 0.0000 0.0000 0.0000 14.0899" Properties=species:S:1:pos:R:3 pbc="T T T"
Na 0.0000 0.0000 0.0000
Na 3.7854 3.7854 7.0449
Pu 0.0000 0.0000 4.6939
Pu 0.0000 0.0000 9.3960
Pu 3.7854 3.7854 2.3511
Pu 3.7854 3.7854 11.7388
I 1.4818 1.4818 7.0449
I 1.5376 1.5376 2.3935
I 1.5376 1.5376 11.6963
I 2.2478 5.3231 4.6514
I 2.2478 5.3231 9.4385
I 2.3036 5.2673 0.0000
I 5.2673 2.3036 0.0000
I 5.3231 2.2478 4.6514
I 5.3231 2.2478 9.4385
I 6.0332 6.0332 2.3935
I 6.0332 6.0332 11.6963
I 6.0891 6.0891 7.0449
```

=====

No. 11
NaCaSnCl5 | PBE | optimized geometry

Results
Fermi-level density of states in states/eV per cell: 0.00
Formation energy without anion corrections in eV/atom: -1.68
Crystal system: monoclinic
Calculated volume in Å³/f.u.: 269.7
Electronic total energy in eV/atom: -3.75
Total magnetic moment in μB per formula unit: 0.0

The structure in extended XYZ format:
```
16
Lattice="4.7521 -6.4945 0.0000 4.7521 6.4945 0.0000 -3.1996 0.0000 8.7390" Properties=species:S:1:pos:R:3 pbc="T T T"
Na 2.3524 6.4696 6.5543
Na 3.9522 -6.4696 2.1848
Ca 0.7763 3.2472 4.3695
Ca 2.3761 -3.2472 0.0000
Sn 2.3524 0.2089 6.5543
Sn 3.9522 -0.2089 2.1848
Cl -0.1602 0.7954 5.2549
Cl 2.3524 3.7556 6.5543
Cl 1.4396 -0.7954 0.8854
Cl 3.0380 1.7542 3.7305
Cl 4.8665 1.7542 0.6390
Cl 1.4382 -1.7542 8.1000
Cl 3.2667 -1.7542 5.0085
Cl 4.8651 0.7954 7.8536
Cl 3.9522 -3.7556 2.1848
Cl 6.4649 -0.7954 3.4841
```

=====

No. 12
AcTiBi2 | PBE | optimized geometry

Results
Fermi-level density of states in states/eV per cell: 4.50
Offset from the most stable computed form in eV/f.u.: 0.12
Energy of formation in eV/atom: -0.239
Crystal system: cubic
Calculated volume in Å³/f.u.: 119.6
Electronic total energy in eV/atom: -5.18
Total magnetic moment in μB per formula unit: 2.0

The structure in extended XYZ format:
```
4
Lattice="0.0000 3.9107 3.9107 3.9107 0.0000 3.9107 3.9107 3.9107 0.0000" Properties=species:S:1:pos:R:3 pbc="T T T"
Ac 0.0000 0.0000 0.0000
Ti 3.9107 3.9107 3.9107
Bi 1.9553 1.9553 1.9553
Bi 5.8660 5.8660 5.8660
```

=====

No. 13
PaTe2Ru | PBE | optimized geometry

Results
Fermi-level density of states in states/eV per cell: 4.82
Formation energy without anion corrections in eV/atom: 0.27
Crystal system: trigonal
Calculated volume in Å³/f.u.: 96.4
Electronic total energy in eV/atom: -5.99
Total magnetic moment in μB per formula unit: 0.0

The structure in extended XYZ format:
```
4
Lattice="1.6629 0.9601 10.0630 -1.6629 0.9601 10.0630 0.0000 -1.9201 10.0630" Properties=species:S:1:pos:R:3 pbc="T T T"
Pa 0.0000 0.0000 0.0000
Te 0.0000 0.0000 12.5656
Te 0.0000 0.0000 17.6232
Ru 0.0000 0.0000 15.0944
```

=====

No. 14
ErHgBr3 | PBE | optimized geometry

Results
Fermi-level density of states in states/eV per cell: 0.00
Formation energy without anion corrections in eV/atom: -1.35
Crystal system: cubic
Calculated volume in Å³/f.u.: 173.4
Electronic total energy in eV/atom: -3.33
Total magnetic moment in μB per formula unit: 0.0

The structure in extended XYZ format:
```
5
Lattice="5.5761 0.0000 0.0000 0.0000 5.5761 0.0000 0.0000 0.0000 5.5761" Properties=species:S:1:pos:R:3 pbc="T T T"
Er 0.0000 0.0000 0.0000
Hg 2.7880 2.7880 2.7880
Br 0.0000 0.0000 2.7880
Br 0.0000 2.7880 0.0000
Br 2.7880 0.0000 0.0000
```

=====

No. 15
Ce12PuHg6 | PBE | optimized geometry

Results
Fermi-level density of states in states/eV per cell: 45.58
Offset from the most stable computed form in eV/f.u.: 0.00
Energy of formation in eV/atom: -0.107
Crystal system: trigonal
Calculated volume in Å³/f.u.: 534.2
Electronic total energy in eV/atom: -4.70
Total magnetic moment in μB per formula unit: 8.9

The structure in extended XYZ format:
```
19
Lattice="7.2460 4.1835 2.9373 -7.2460 4.1835 2.9373 0.0000 -8.3670 2.9373" Properties=species:S:1:pos:R:3 pbc="T T T"
Ce -5.7826 1.0471 3.7106
Ce -3.7981 -4.4844 5.1013
Ce -3.4423 -0.2557 3.4963
Ce 1.9845 -5.5315 3.7106
Ce -1.4997 -3.1090 5.3156
Ce 1.9426 -2.8532 3.4963
Ce -1.9426 2.8532 5.3156
Ce 1.4997 3.1090 3.4963
Ce -1.9845 5.5314 5.1013
Ce 3.4423 0.2557 5.3156
Ce 3.7981 4.4844 3.7106
Ce 5.7826 -1.0471 5.1013
Pu 0.0000 0.0000 0.0000
Hg -1.1101 -1.9585 2.2644
Hg -1.1411 1.9406 2.2644
Hg 2.2512 0.0179 2.2644
Hg -2.2512 -0.0179 6.5475
Hg 1.1411 -1.9406 6.5475
Hg 1.1101 1.9585 6.5475
```

=====

No. 16
PmSm2Ga2 | PBE | optimized geometry

Results
Fermi-level density of states in states/eV per cell: 5.72
Offset from the most stable computed form in eV/f.u.: 0.61
Energy of formation in eV/atom: -0.364
Crystal system: monoclinic
Calculated volume in Å³/f.u.: 139.1
Electronic total energy in eV/atom: -4.41
Total magnetic moment in μB per formula unit: 0.0

The structure in extended XYZ format:
```
5
Lattice="6.2837 -1.8875 0.0000 6.2837 1.8875 0.0000 -1.3028 0.0000 5.8650" Properties=species:S:1:pos:R:3 pbc="T T T"
Pm 0.0000 0.0000 0.0000
Sm 4.0070 0.0000 2.5333
Sm 7.2576 0.0000 3.3317
Ga 2.5412 0.0000 5.2322
Ga 8.7234 0.0000 0.6328
```

=====

No. 17
YTe3Ir | PBE | optimized geometry

Results
Fermi-level density of states in states/eV per cell: 10.08
Formation energy without anion corrections in eV/atom: 0.94
Offset from the most stable computed form in eV/f.u.: 5.06
Crystal system: cubic
Calculated volume in Å³/f.u.: 189.4
Electronic total energy in eV/atom: -4.01
Total magnetic moment in μB per formula unit: 2.8

The structure in extended XYZ format:
```
5
Lattice="5.7424 0.0000 0.0000 0.0000 5.7424 0.0000 0.0000 0.0000 5.7424" Properties=species:S:1:pos:R:3 pbc="T T T"
Y 0.0000 0.0000 0.0000
Te 0.0000 0.0000 2.8712
Te 0.0000 2.8712 0.0000
Te 2.8712 0.0000 0.0000
Ir 2.8712 2.8712 2.8712
```

=====

No. 18
Pr3GaIr2 | PBE | optimized geometry

Results
Fermi-level density of states in states/eV per cell: 18.17
Energy of formation in eV/atom: -0.612
Crystal system: orthorhombic
Calculated volume in Å³/f.u.: 152.3
Electronic total energy in eV/atom: -6.46
Total magnetic moment in μB per formula unit: 0.0

The structure in extended XYZ format:
```
24
Lattice="12.1874 0.0000 0.0000 0.0000 4.0552 0.0000 0.0000 0.0000 12.3242" Properties=species:S:1:pos:R:3 pbc="T T T"
Pr 0.7234 1.0138 1.5036
Pr 1.5758 3.0414 6.9986
Pr 2.3969 1.0138 10.0806
Pr 3.6969 3.0414 3.9185
Pr 4.5179 1.0138 0.8365
Pr 5.3703 3.0414 7.6657
Pr 6.8171 1.0138 4.6584
Pr 7.6695 3.0414 11.4877
Pr 8.4906 1.0138 8.4056
Pr 9.7906 3.0414 2.2435
Pr 10.6117 1.0138 5.3256
Pr 11.4640 3.0414 10.8205
Ga 1.4924 1.0138 4.5598
Ga 4.6013 3.0414 10.7219
Ga 7.5861 1.0138 1.6023
Ga 10.6951 3.0414 7.7644
Ir 0.1693 3.0414 3.8350
Ir 2.3137 3.0414 12.1407
Ir 3.7800 1.0138 5.9786
Ir 5.9245 1.0138 9.9971
Ir 6.2630 3.0414 2.3270
Ir 8.4075 3.0414 6.3455
Ir 9.8737 1.0138 0.1834
Ir 12.0182 1.0138 8.4891
```

=====

No. 19
Si4Se5 | PBE | optimized geometry

Results
Fermi-level density of states in states/eV per cell: 5.62
Formation energy without anion corrections in eV/atom: 0.55
Offset from the most stable computed form in eV/f.u.: 3.30
Crystal system: tetragonal
Calculated volume in Å³/f.u.: 171.8
Electronic total energy in eV/atom: -3.80
Total magnetic moment in μB per formula unit: 0.0

The structure in extended XYZ format:
```
9
Lattice="-5.0011 5.0011 1.7172 5.0011 -5.0011 1.7172 5.0011 5.0011 -1.7172" Properties=species:S:1:pos:R:3 pbc="T T T"
Si 3.6343 0.0000 0.0000
Si 6.3678 0.0000 0.0000
Si 0.0000 3.6343 0.0000
Si 0.0000 6.3678 0.0000
Se 0.0000 0.0000 0.0000
Se 3.2324 3.2324 0.0000
Se 1.7686 -1.7686 1.7172
Se -1.7686 1.7686 1.7172
Se 1.7686 1.7686 1.7172
```

=====

No. 20
CrFe2MoH | PBE | optimized geometry

Results
Fermi-level density of states in states/eV per cell: 4.66
Offset from the most stable computed form in eV/f.u.: 0.21
Crystal system: tetragonal
Calculated volume in Å³/f.u.: 51.1
Electronic total energy in eV/atom: -8.03
Total magnetic moment in μB per formula unit: 1.3

The structure in extended XYZ format:
```
5
Lattice="3.6234 0.0000 0.0000 0.0000 3.6234 0.0000 0.0000 0.0000 3.8909" Properties=species:S:1:pos:R:3 pbc="T T T"
Cr 0.0000 0.0000 0.0000
Fe 0.0000 1.8117 1.9454
Fe 1.8117 0.0000 1.9454
Mo 1.8117 1.8117 0.0000
H 1.8117 1.8117 1.9454
```